KRuS3: relaxed, GGA-PBE.

Computed properties:
ΔE_f (raw)   -0.70 eV/f.u.
Space-group type   Pm-3m (221)
Calculated volume   108.65 Å³/cell

extended XYZ file:
```
5
Lattice="4.772 0.000 0.000 0.000 4.772 0.000 0.000 0.000 4.772" Properties=species:S:1:pos:R:3 pbc="T T T"
K 0.000 0.000 0.000
Ru 2.386 2.386 2.386
S 0.000 2.386 2.386
S 2.386 0.000 2.386
S 2.386 2.386 0.000
```


K5RuS5: relaxed, GGA-PBE.

Computed properties:
ΔE_f (raw)   -6.86 eV/f.u.
Space-group type   C2/m (12)
Calculated volume   334.40 Å³/cell

extended XYZ file:
```
11
Lattice="7.028 -3.004 0.000 7.028 3.004 0.000 -2.811 0.000 7.920" Properties=species:S:1:pos:R:3 pbc="T T T"
K 0.000 0.000 0.000
K 3.770 0.000 1.570
K 2.832 0.000 5.184
K 8.413 0.000 2.735
K 7.476 0.000 6.349
Ru -1.406 0.000 3.960
S 0.707 0.000 2.911
S -0.311 0.000 6.107
S 5.623 0.000 3.960
S 11.556 0.000 1.813
S 10.539 0.000 5.008
```


KRuS3: relaxed, GGA-PBE.

Computed properties:
ΔE_f (raw)   9.42 eV/f.u.
Space-group type   Pm-3m (221)
Calculated volume   154.84 Å³/cell

extended XYZ file:
```
5
Lattice="5.370 0.000 0.000 0.000 5.370 0.000 0.000 0.000 5.370" Properties=species:S:1:pos:R:3 pbc="T T T"
K 0.000 0.000 0.000
Ru 2.685 2.685 2.685
S 0.000 0.000 2.685
S 0.000 2.685 0.000
S 2.685 0.000 0.000
```


K2RuS: relaxed, GGA-PBE.

Computed properties:
ΔE_f (raw)   -0.40 eV/f.u.
Space-group type   I-42d (122)
Calculated volume   324.29 Å³/cell

extended XYZ file:
```
8
Lattice="-6.078 6.078 2.194 6.078 -6.078 2.194 6.078 6.078 -2.194" Properties=species:S:1:pos:R:3 pbc="T T T"
K 0.475 3.039 0.549
K -3.039 5.603 1.646
K -0.475 9.117 0.549
K 3.039 6.553 1.646
Ru 6.078 0.000 1.097
Ru 0.000 0.000 2.194
S 0.000 0.000 0.000
S 0.000 6.078 1.097
```


KRu3S: relaxed, GGA-PBE.

Computed properties:
ΔE_f (raw)   3.60 eV/f.u.
Space-group type   Pm-3m (221)
Calculated volume   89.92 Å³/cell

extended XYZ file:
```
5
Lattice="4.480 0.000 0.000 0.000 4.480 0.000 0.000 0.000 4.480" Properties=species:S:1:pos:R:3 pbc="T T T"
K 0.000 0.000 0.000
Ru 0.000 2.240 2.240
Ru 2.240 0.000 2.240
Ru 2.240 2.240 0.000
S 2.240 2.240 2.240
```


K3Ru5S12: relaxed, GGA-PBE.

Computed properties:
ΔE_f (raw)   -7.41 eV/f.u.
Space-group type   Ia-3d (230)
Calculated volume   1757.42 Å³/cell

extended XYZ file:
```
80
Lattice="-7.602 7.602 7.602 7.602 -7.602 7.602 7.602 7.602 -7.602" Properties=species:S:1:pos:R:3 pbc="T T T"
K 3.801 1.901 0.000
K 7.602 3.801 -1.901
K 1.901 0.000 3.801
K 9.503 0.000 3.801
K 0.000 3.801 1.901
K 3.801 -1.901 7.602
K 3.801 9.503 0.000
K 7.602 3.801 5.702
K -1.901 7.602 3.801
K 5.702 7.602 3.801
K 0.000 3.801 9.503
K 3.801 5.702 7.602
Ru 0.000 0.000 0.000
Ru 3.801 3.801 -3.801
Ru 3.801 -3.801 3.801
Ru 7.602 0.000 0.000
Ru 11.403 1.901 0.000
Ru 7.602 -3.801 5.702
Ru 5.702 7.602 -3.801
Ru 5.702 0.000 3.801
Ru 3.801 5.702 0.000
Ru 7.602 3.801 1.901
Ru -3.801 3.801 3.801
Ru 0.000 7.602 0.000
Ru 0.000 0.000 7.602
Ru 3.801 3.801 3.801
Ru 0.000 3.801 5.702
Ru 3.801 1.901 7.602
Ru 1.901 7.602 3.801
Ru 1.901 0.000 11.403
Ru 0.000 11.403 1.901
Ru -3.801 5.702 7.602
S 2.155 -0.687 0.811
S 9.248 4.612 -4.488
S 6.915 -0.811 2.155
S 12.091 -1.646 2.990
S 0.811 2.155 -0.687
S 10.592 3.114 -1.646
S 9.757 0.687 0.811
S 9.248 -2.990 4.488
S 4.612 4.488 -1.646
S 6.791 2.155 0.687
S -0.687 0.811 2.155
S 4.488 -1.646 4.612
S 6.915 6.791 -2.155
S 4.488 1.646 2.990
S 6.791 -2.155 6.915
S 4.612 -4.488 9.248
S 2.155 6.915 -0.811
S 9.248 2.990 3.114
S 2.990 4.488 1.646
S 8.413 5.447 0.687
S 4.488 9.248 -2.990
S 6.915 0.811 5.447
S 1.646 2.990 4.488
S 2.155 0.687 6.791
S 5.447 6.915 0.811
S 5.956 4.612 3.114
S 0.687 6.791 2.155
S 3.114 -1.646 10.592
S -0.811 2.155 6.915
S 4.612 3.114 5.956
S -1.646 4.612 4.488
S 5.447 0.687 8.413
S 2.990 12.091 -1.646
S 0.811 9.757 0.687
S 3.114 5.956 4.612
S 0.687 0.811 9.757
S 3.114 9.248 2.990
S 8.290 6.791 5.447
S 0.811 5.447 6.915
S 2.990 3.114 9.248
S -1.646 10.592 3.114
S -2.155 6.915 6.791
S -2.990 4.488 9.248
S 6.791 5.447 8.290
S -4.488 9.248 4.612
S 0.687 8.413 5.447
S -1.646 2.990 12.091
S 5.447 8.290 6.791
```


K3RuS: relaxed, GGA-PBE.

Computed properties:
ΔE_f (raw)   2.12 eV/f.u.
Space-group type   Pm-3m (221)
Calculated volume   223.35 Å³/cell

extended XYZ file:
```
5
Lattice="6.067 0.000 0.000 0.000 6.067 0.000 0.000 0.000 6.067" Properties=species:S:1:pos:R:3 pbc="T T T"
K 0.000 0.000 3.034
K 0.000 3.034 0.000
K 3.034 0.000 0.000
Ru 3.034 3.034 3.034
S 0.000 0.000 0.000
```


KRu3S: relaxed, GGA-PBE.

Computed properties:
ΔE_f (raw)   15.27 eV/f.u.
Space-group type   Pm-3m (221)
Calculated volume   110.39 Å³/cell

extended XYZ file:
```
5
Lattice="4.797 0.000 0.000 0.000 4.797 0.000 0.000 0.000 4.797" Properties=species:S:1:pos:R:3 pbc="T T T"
K 0.000 0.000 0.000
Ru 0.000 0.000 2.399
Ru 0.000 2.399 0.000
Ru 2.399 0.000 0.000
S 2.399 2.399 2.399
```